A relaxed structure of Pa4Pt3O12, computed with PBE.

Cell: 7.1533 7.1533 7.1533 Å, 109.47 109.47 109.47°
Sites, in units of the cell vectors:
1 O 0.3076 0.4766 0.1689
2 O 0.1689 0.6924 0.8613
3 Pt 0.0000 0.5000 0.5000
4 O 0.4766 0.1689 0.3076
5 Pa 0.0000 0.0000 0.5000
6 O 0.5234 0.8311 0.6924
7 Pa 0.5000 0.5000 0.5000
8 O 0.8311 0.3076 0.1387
9 Pt 0.5000 0.5000 0.0000
10 O 0.8311 0.6924 0.5234
11 O 0.1387 0.8311 0.3076
12 Pa 0.0000 0.5000 0.0000
13 Pa 0.5000 0.0000 0.0000
14 O 0.6924 0.5234 0.8311
15 O 0.3076 0.1387 0.8311
16 O 0.6924 0.8613 0.1689
17 O 0.1689 0.3076 0.4766
18 O 0.8613 0.1689 0.6924
19 Pt 0.5000 0.0000 0.5000

Properties
- E (eV/f.u.) = -162.96

A relaxed structure of Tm6ScNi2, computed with PBE.

Cell: 3.5505 7.8841 8.3661 Å, 79.24 77.75 76.99°
Sites, in units of the cell vectors:
1 Tm 0.6913 0.1744 0.4430
2 Tm 0.3087 0.8256 0.5570
3 Tm 0.9739 0.8585 0.1938
4 Tm 0.7188 0.6706 0.8918
5 Ni 0.4072 0.4304 0.7552
6 Ni 0.5928 0.5696 0.2448
7 Tm 0.2812 0.3294 0.1082
8 Tm 0.0261 0.1415 0.8062
9 Sc 0.0000 0.5000 0.5000

Properties
- E (eV/f.u.) = -46.30
- ΔE_f (meV/atom) = -176

A relaxed structure of Sr2LiCaRh, computed with PBE.

Cell: 5.9343 4.5252 5.9343 Å, 90.00 90.00 90.00°
Sites, in units of the cell vectors:
1 Sr 0.5000 0.0000 0.0000
2 Ca 0.5000 0.5000 0.5000
3 Sr 0.0000 0.0000 0.5000
4 Rh 0.0000 0.5000 0.0000
5 Li 0.0000 0.0000 0.0000

Properties
- E (eV/f.u.) = -13.49
- offset from the most stable computed form (meV per atom) = 350
- ΔE_f (meV/atom) = 227

A relaxed structure of Sr4LiPt, computed with PBE.

Cell: 7.3052 8.0737 9.7600 Å, 74.57 68.14 90.01°
Sites, in units of the cell vectors:
1 Pt 0.0000 0.0000 0.5000
2 Sr 0.7229 0.8558 0.3816
3 Sr 0.6984 0.9650 0.8084
4 Pt 0.5000 0.5000 0.5000
5 Sr 0.1051 0.6443 0.6181
6 Sr 0.3016 0.0350 0.1916
7 Li 0.9009 0.2510 0.9997
8 Sr 0.4946 0.4651 0.8081
9 Sr 0.5054 0.5349 0.1919
10 Li 0.0991 0.7490 0.0003
11 Sr 0.8949 0.3557 0.3819
12 Sr 0.2771 0.1442 0.6184

Properties
- E (eV/f.u.) = -16.63
- offset from the most stable computed form (meV per atom) = 0
- ΔE_f (meV/atom) = -324

A relaxed structure of Li4Ag3Sn, computed with PBE.

Cell: 4.9983 5.7842 9.5053 Å, 90.00 90.00 90.00°
Sites, in units of the cell vectors:
1 Sn 0.0000 0.5000 0.5000
2 Ag 0.6353 0.0000 0.7500
3 Ag 0.0000 0.0000 0.5000
4 Li 0.8523 0.2501 0.2500
5 Li 0.1477 0.7499 0.7500
6 Sn 0.0000 0.5000 0.0000
7 Li 0.8523 0.7499 0.2500
8 Li 0.5000 0.7496 0.5000
9 Li 0.5000 0.2504 0.0000
10 Li 0.5000 0.7496 0.0000
11 Ag 0.6475 0.5000 0.7500
12 Ag 0.3525 0.5000 0.2500
13 Li 0.5000 0.2504 0.5000
14 Ag 0.0000 0.0000 0.0000
15 Li 0.1477 0.2501 0.7500
16 Ag 0.3647 0.0000 0.2500

Properties
- E (eV/f.u.) = -22.29
- offset from the most stable computed form (meV per atom) = 0
- ΔE_f (meV/atom) = -259

A relaxed structure of Ti2CuHPb, computed with PBE.

Cell: 4.0689 4.0689 4.2722 Å, 90.00 90.00 90.00°
Sites, in units of the cell vectors:
1 Cu 0.0000 0.0000 0.5000
2 Ti 0.5000 0.0000 0.0000
3 Ti 0.0000 0.5000 0.0000
4 Pb 0.5000 0.5000 0.5000
5 H 0.0000 0.0000 0.0000

Properties
- E (eV/f.u.) = -27.56

Among the records above, which one has the highest E? Sr2LiCaRh

What is the E in the fourth record? -16.63 eV/f.u.

Please write out number 5 again, unchanged.
A relaxed structure of Li4Ag3Sn, computed with PBE.

Cell: 4.9983 5.7842 9.5053 Å, 90.00 90.00 90.00°
Sites, in units of the cell vectors:
1 Sn 0.0000 0.5000 0.5000
2 Ag 0.6353 0.0000 0.7500
3 Ag 0.0000 0.0000 0.5000
4 Li 0.8523 0.2501 0.2500
5 Li 0.1477 0.7499 0.7500
6 Sn 0.0000 0.5000 0.0000
7 Li 0.8523 0.7499 0.2500
8 Li 0.5000 0.7496 0.5000
9 Li 0.5000 0.2504 0.0000
10 Li 0.5000 0.7496 0.0000
11 Ag 0.6475 0.5000 0.7500
12 Ag 0.3525 0.5000 0.2500
13 Li 0.5000 0.2504 0.5000
14 Ag 0.0000 0.0000 0.0000
15 Li 0.1477 0.2501 0.7500
16 Ag 0.3647 0.0000 0.2500

Properties
- E (eV/f.u.) = -22.29
- offset from the most stable computed form (meV per atom) = 0
- ΔE_f (meV/atom) = -259

Repeat the first record exactly.
A relaxed structure of Pa4Pt3O12, computed with PBE.

Cell: 7.1533 7.1533 7.1533 Å, 109.47 109.47 109.47°
Sites, in units of the cell vectors:
1 O 0.3076 0.4766 0.1689
2 O 0.1689 0.6924 0.8613
3 Pt 0.0000 0.5000 0.5000
4 O 0.4766 0.1689 0.3076
5 Pa 0.0000 0.0000 0.5000
6 O 0.5234 0.8311 0.6924
7 Pa 0.5000 0.5000 0.5000
8 O 0.8311 0.3076 0.1387
9 Pt 0.5000 0.5000 0.0000
10 O 0.8311 0.6924 0.5234
11 O 0.1387 0.8311 0.3076
12 Pa 0.0000 0.5000 0.0000
13 Pa 0.5000 0.0000 0.0000
14 O 0.6924 0.5234 0.8311
15 O 0.3076 0.1387 0.8311
16 O 0.6924 0.8613 0.1689
17 O 0.1689 0.3076 0.4766
18 O 0.8613 0.1689 0.6924
19 Pt 0.5000 0.0000 0.5000

Properties
- E (eV/f.u.) = -162.96